No. 1
Computed, not measured: a relaxed structure of TiMoOsN2 at the PBE level of DFT.

Summary:
Density = 7.5 g cm⁻³
DOS at the Fermi energy = 4.10 states/eV/f.u.
ΔE_f (raw) = 1478 meV per atom
Calculated volume = 15.988 Å³/atom

```
data_TiMoOsN2
_cell_length_a 3.746
_cell_length_b 3.746
_cell_length_c 5.695
_cell_angle_alpha 90.00
_cell_angle_beta 90.00
_cell_angle_gamma 90.00
_space_group_name_H-M_alt 'P 4/m m m'
_space_group_IT_number 123
_space_group_name_Hall '-P 4 2'
loop_
_atom_site_label
_atom_site_type_symbol
_atom_site_fract_x
_atom_site_fract_y
_atom_site_fract_z
Ti1 Ti 0.000 0.000 0.000
Mo1 Mo 0.000 0.000 0.500
Os1 Os 0.500 0.500 0.500
N1 N 0.000 0.500 0.000
```

=====

No. 2
Computed, not measured: a relaxed structure of MoOsW2N at the PBE level of DFT.

Summary:
Density = 16.1 g cm⁻³
DOS at the Fermi energy = 2.85 states/eV/f.u.
ΔE_f (raw) = -1 meV per atom
Calculated volume = 13.791 Å³/atom

```
data_MoOsW2N
_cell_length_a 4.102
_cell_length_b 4.102
_cell_length_c 4.098
_cell_angle_alpha 90.00
_cell_angle_beta 90.00
_cell_angle_gamma 90.00
_space_group_name_H-M_alt 'P 4/m m m'
_space_group_IT_number 123
_space_group_name_Hall '-P 4 2'
loop_
_atom_site_label
_atom_site_type_symbol
_atom_site_fract_x
_atom_site_fract_y
_atom_site_fract_z
Mo1 Mo 0.000 0.000 0.000
Os1 Os 0.500 0.500 0.000
W1 W 0.000 0.500 0.500
N1 N 0.000 0.000 0.500
```

=====

No. 3
Computed, not measured: a relaxed structure of MoPN at the PBE level of DFT.

Summary:
Density = 6.1 g cm⁻³
DOS at the Fermi energy = 1.05 states/eV/f.u.
ΔE_f (raw) = 186 meV per atom
Calculated volume = 12.784 Å³/atom

```
data_MoPN
_cell_length_a 12.450
_cell_length_b 2.739
_cell_length_c 4.498
_cell_angle_alpha 90.00
_cell_angle_beta 90.00
_cell_angle_gamma 90.00
_space_group_name_H-M_alt 'P n m a'
_space_group_IT_number 62
_space_group_name_Hall '-P 2ac 2n'
loop_
_atom_site_label
_atom_site_type_symbol
_atom_site_fract_x
_atom_site_fract_y
_atom_site_fract_z
Mo1 Mo 0.209 0.250 0.107
P1 P 0.079 0.250 0.527
N1 N 0.132 0.750 0.768
```

=====

No. 4
Computed, not measured: a relaxed structure of MoP2N at the PBE level of DFT.

Summary:
Density = 5.3 g cm⁻³
DOS at the Fermi energy = 1.21 states/eV/f.u.
ΔE_f (raw) = 370 meV per atom
Calculated volume = 13.413 Å³/atom

```
data_MoP2N
_cell_length_a 5.291
_cell_length_b 5.291
_cell_length_c 7.667
_cell_angle_alpha 90.00
_cell_angle_beta 90.00
_cell_angle_gamma 90.00
_space_group_name_H-M_alt 'I -4 2 d'
_space_group_IT_number 122
_space_group_name_Hall 'I -4 2bw'
loop_
_atom_site_label
_atom_site_type_symbol
_atom_site_fract_x
_atom_site_fract_y
_atom_site_fract_z
Mo1 Mo 0.000 0.000 0.000
P1 P 0.180 0.250 0.625
N1 N 0.000 0.000 0.500
```

=====

No. 5
Computed, not measured: a relaxed structure of Mo3PN at the PBE level of DFT.

Summary:
Density = 8.1 g cm⁻³
Energy relative to the lowest polymorph listed for this composition = 0.46 eV/f.u.
DOS at the Fermi energy = 4.55 states/eV/f.u.
ΔE_f (raw) = 57 meV per atom
Calculated volume = 13.573 Å³/atom

```
data_Mo3PN
_cell_length_a 4.079
_cell_length_b 4.079
_cell_length_c 4.079
_cell_angle_alpha 90.00
_cell_angle_beta 90.00
_cell_angle_gamma 90.00
_space_group_name_H-M_alt 'P m -3 m'
_space_group_IT_number 221
_space_group_name_Hall '-P 4 2 3'
loop_
_atom_site_label
_atom_site_type_symbol
_atom_site_fract_x
_atom_site_fract_y
_atom_site_fract_z
Mo1 Mo 0.000 0.000 0.500
P1 P 0.500 0.500 0.500
N1 N 0.000 0.000 0.000
```

=====

No. 6
Computed, not measured: a relaxed structure of Mo2PN at the PBE level of DFT.

Summary:
Density = 6.3 g cm⁻³
Energy relative to the lowest polymorph listed for this composition = 0.00 eV/f.u.
DOS at the Fermi energy = 4.21 states/eV/f.u.
ΔE_f (raw) = 29 meV per atom
Calculated volume = 15.673 Å³/atom

```
data_Mo2PN
_cell_length_a 4.847
_cell_length_b 4.847
_cell_length_c 10.674
_cell_angle_alpha 90.00
_cell_angle_beta 90.00
_cell_angle_gamma 90.00
_space_group_name_H-M_alt 'I -4 2 d'
_space_group_IT_number 122
_space_group_name_Hall 'I -4 2bw'
loop_
_atom_site_label
_atom_site_type_symbol
_atom_site_fract_x
_atom_site_fract_y
_atom_site_fract_z
Mo1 Mo 0.183 0.250 0.125
P1 P 0.000 0.000 0.500
N1 N 0.000 0.000 0.000
```

=====

No. 7
Computed, not measured: a relaxed structure of Mo2PN at the PBE level of DFT.

Summary:
Density = 8.1 g cm⁻³
Energy relative to the lowest polymorph listed for this composition = 0.91 eV/f.u.
DOS at the Fermi energy = 4.16 states/eV/f.u.
ΔE_f (raw) = 255 meV per atom
Calculated volume = 12.090 Å³/atom

```
data_Mo2PN
_cell_length_a 5.783
_cell_length_b 5.783
_cell_length_c 5.783
_cell_angle_alpha 90.00
_cell_angle_beta 90.00
_cell_angle_gamma 90.00
_space_group_name_H-M_alt 'F m -3 m'
_space_group_IT_number 225
_space_group_name_Hall '-F 4 2 3'
loop_
_atom_site_label
_atom_site_type_symbol
_atom_site_fract_x
_atom_site_fract_y
_atom_site_fract_z
Mo1 Mo 0.250 0.250 0.250
P1 P 0.000 0.000 0.000
N1 N 0.000 0.000 0.500
```

=====

No. 8
Computed, not measured: a relaxed structure of Mo3PN at the PBE level of DFT.

Summary:
Density = 8.1 g cm⁻³
Energy relative to the lowest polymorph listed for this composition = 0.00 eV/f.u.
DOS at the Fermi energy = 3.31 states/eV/f.u.
ΔE_f (raw) = -34 meV per atom
Calculated volume = 13.568 Å³/atom

```
data_Mo3PN
_cell_length_a 5.334
_cell_length_b 12.315
_cell_length_c 4.131
_cell_angle_alpha 90.00
_cell_angle_beta 90.00
_cell_angle_gamma 90.00
_space_group_name_H-M_alt 'C m m m'
_space_group_IT_number 65
_space_group_name_Hall '-C 2 2'
loop_
_atom_site_label
_atom_site_type_symbol
_atom_site_fract_x
_atom_site_fract_y
_atom_site_fract_z
Mo1 Mo 0.000 0.114 0.000
Mo2 Mo 0.233 0.500 0.500
Mo3 Mo 0.250 0.250 0.500
P1 P 0.000 0.359 0.000
N1 N 0.000 0.121 0.500
```

=====

No. 9
Computed, not measured: a relaxed structure of Rb2MoP2N6 at the PBE level of DFT.

Summary:
Density = 4.0 g cm⁻³
DOS at the Fermi energy = 3.27 states/eV/f.u.
ΔE_f (raw) = -160 meV per atom
Calculated volume = 15.624 Å³/atom

```
data_Rb2MoP2N6
_cell_length_a 5.6059
_cell_length_b 5.6059
_cell_length_c 18.9445
_cell_angle_alpha 90.00
_cell_angle_beta 90.00
_cell_angle_gamma 120.00
_space_group_name_H-M_alt 'R -3 m'
_space_group_IT_number 166
_space_group_name_Hall '-R 3 2"'
loop_
_atom_site_label
_atom_site_type_symbol
_atom_site_fract_x
_atom_site_fract_y
_atom_site_fract_z
Rb1 Rb 0.0000 0.0000 0.2061
Mo1 Mo 0.0000 0.0000 0.0000
P1 P 0.0000 0.0000 0.3923
N1 N 0.0088 0.5044 0.2708
```

=====

No. 10
Computed, not measured: a relaxed structure of MoPS2N at the PBE level of DFT.

Summary:
Density = 4.9 g cm⁻³
Energy relative to the lowest polymorph listed for this composition = 0.53 eV/f.u.
DOS at the Fermi energy = 2.38 states/eV/f.u.
ΔE_f (raw) = 701 meV per atom
Calculated volume = 14.035 Å³/atom

```
data_MoPS2N
_cell_length_a 4.670
_cell_length_b 4.670
_cell_length_c 3.218
_cell_angle_alpha 90.00
_cell_angle_beta 90.00
_cell_angle_gamma 90.00
_space_group_name_H-M_alt 'P 4/m m m'
_space_group_IT_number 123
_space_group_name_Hall '-P 4 2'
loop_
_atom_site_label
_atom_site_type_symbol
_atom_site_fract_x
_atom_site_fract_y
_atom_site_fract_z
Mo1 Mo 0.000 0.000 0.000
P1 P 0.500 0.500 0.500
S1 S 0.000 0.500 0.500
N1 N 0.500 0.500 0.000
```

=====

No. 11
Computed, not measured: a relaxed structure of MoP2SN at the PBE level of DFT.

Summary:
Density = 3.3 g cm⁻³
Energy relative to the lowest polymorph listed for this composition = 2.38 eV/f.u.
DOS at the Fermi energy = 3.05 states/eV/f.u.
ΔE_f (raw) = 1347 meV per atom
Calculated volume = 20.676 Å³/atom

```
data_MoP2SN
_cell_length_a 4.734
_cell_length_b 4.734
_cell_length_c 4.612
_cell_angle_alpha 90.00
_cell_angle_beta 90.00
_cell_angle_gamma 90.00
_space_group_name_H-M_alt 'P 4/m m m'
_space_group_IT_number 123
_space_group_name_Hall '-P 4 2'
loop_
_atom_site_label
_atom_site_type_symbol
_atom_site_fract_x
_atom_site_fract_y
_atom_site_fract_z
Mo1 Mo 0.000 0.000 0.000
P1 P 0.000 0.500 0.000
S1 S 0.000 0.000 0.500
N1 N 0.500 0.500 0.500
```

=====

No. 12
Computed, not measured: a relaxed structure of MoPS2N at the PBE level of DFT.

Summary:
Density = 3.9 g cm⁻³
Energy relative to the lowest polymorph listed for this composition = 0.00 eV/f.u.
DOS at the Fermi energy = 3.70 states/eV/f.u.
ΔE_f (raw) = 595 meV per atom
Calculated volume = 17.367 Å³/atom

```
data_MoPS2N
_cell_length_a 4.804
_cell_length_b 4.804
_cell_length_c 3.762
_cell_angle_alpha 90.00
_cell_angle_beta 90.00
_cell_angle_gamma 90.00
_space_group_name_H-M_alt 'P 4/m m m'
_space_group_IT_number 123
_space_group_name_Hall '-P 4 2'
loop_
_atom_site_label
_atom_site_type_symbol
_atom_site_fract_x
_atom_site_fract_y
_atom_site_fract_z
Mo1 Mo 0.000 0.000 0.000
P1 P 0.500 0.500 0.500
S1 S 0.000 0.500 0.000
N1 N 0.000 0.000 0.500
```

=====

No. 13
Computed, not measured: a relaxed structure of MoPS2N at the PBE level of DFT.

Summary:
Density = 5.2 g cm⁻³
Energy relative to the lowest polymorph listed for this composition = 1.98 eV/f.u.
DOS at the Fermi energy = 2.56 states/eV/f.u.
ΔE_f (raw) = 990 meV per atom
Calculated volume = 13.147 Å³/atom

```
data_MoPS2N
_cell_length_a 4.108
_cell_length_b 4.108
_cell_length_c 3.895
_cell_angle_alpha 90.00
_cell_angle_beta 90.00
_cell_angle_gamma 90.00
_space_group_name_H-M_alt 'P 4/m m m'
_space_group_IT_number 123
_space_group_name_Hall '-P 4 2'
loop_
_atom_site_label
_atom_site_type_symbol
_atom_site_fract_x
_atom_site_fract_y
_atom_site_fract_z
Mo1 Mo 0.000 0.000 0.000
P1 P 0.500 0.500 0.000
S1 S 0.000 0.500 0.500
N1 N 0.500 0.500 0.500
```

=====

No. 14
Computed, not measured: a relaxed structure of MoPS2N at the PBE level of DFT.

Summary:
Density = 3.3 g cm⁻³
Energy relative to the lowest polymorph listed for this composition = 3.11 eV/f.u.
DOS at the Fermi energy = 3.53 states/eV/f.u.
ΔE_f (raw) = 1216 meV per atom
Calculated volume = 20.741 Å³/atom

```
data_MoPS2N
_cell_length_a 4.661
_cell_length_b 4.661
_cell_length_c 4.773
_cell_angle_alpha 90.00
_cell_angle_beta 90.00
_cell_angle_gamma 90.00
_space_group_name_H-M_alt 'P 4/m m m'
_space_group_IT_number 123
_space_group_name_Hall '-P 4 2'
loop_
_atom_site_label
_atom_site_type_symbol
_atom_site_fract_x
_atom_site_fract_y
_atom_site_fract_z
Mo1 Mo 0.000 0.000 0.000
P1 P 0.000 0.000 0.500
S1 S 0.000 0.500 0.000
N1 N 0.500 0.500 0.500
```